Entry 1:
Crystalline GeAsRh2 at its relaxed geometry, computed with PBE.

Computed properties:
For the formation enthalpy at 0 K, the calculation gives -119 meV per atom. The raw total energy comes out at -48.89 eV for the cell shown. As for the magnetization: 0.00 μB per cell.

Cell lengths 5.5422, 5.5422, 6.7037 Å; angles 65.58, 65.58, 90.00 degrees
Sites, in units of the cell vectors:
Rh 0.3750 0.3711 0.7500
Rh 0.6289 0.1250 0.2500
Rh 0.8750 0.8789 0.7500
Rh 0.1211 0.6250 0.2500
As 0.0000 0.0000 0.0000
As 0.7500 0.2500 0.5000
Ge 0.5000 0.5000 0.0000
Ge 0.2500 0.7500 0.5000

***

Entry 2:
Crystalline SiHgBr at its relaxed geometry, computed with PBE.

Computed properties:
Its raw formation energy is 0.415 eV per atom. The raw total energy comes out at -6.15 eV for the cell shown. As for the magnetization: 0.00 μB per cell.

Cell lengths 4.8923, 4.8923, 3.5711 Å; angles 90.00, 90.00, 120.00 degrees
Sites, in units of the cell vectors:
Br 0.0000 0.0000 0.8992
Si 0.6667 0.3333 0.7049
Hg 0.3333 0.6667 0.3959

***

Entry 3:
Crystalline HfMgPt4 at its relaxed geometry, computed with PBE.

Computed properties:
For the formation enthalpy at 0 K, the calculation gives -594 meV per atom. The raw total energy comes out at -39.28 eV for the cell shown. As for the magnetization: 0.00 μB per cell.

Cell lengths 4.3240, 4.3241, 6.0553 Å; angles 89.99, 90.00, 90.00 degrees
Sites, in units of the cell vectors:
Pt 0.0012 0.4973 0.2408
Pt 0.5013 0.9974 0.7556
Pt 0.5013 0.9974 0.2408
Pt 0.0013 0.4973 0.7556
Hf 0.0013 0.9973 0.4982
Mg 0.5014 0.4971 0.9980

***

Entry 4:
Crystalline MgTaTc4 at its relaxed geometry, computed with PBE.

Computed properties:
For the formation enthalpy at 0 K, the calculation gives 12 meV per atom. The raw total energy comes out at -54.84 eV for the cell shown. As for the magnetization: 0.00 μB per cell.

Cell lengths 5.1671, 5.1671, 5.1671 Å; angles 60.00, 60.00, 60.00 degrees
Sites, in units of the cell vectors:
Tc 0.8740 0.3753 0.3753
Tc 0.3753 0.3753 0.8740
Tc 0.3753 0.8740 0.3753
Tc 0.3753 0.3753 0.3753
Ta 0.0000 0.0000 0.0000
Mg 0.7500 0.7500 0.7500

***

Entry 5:
Crystalline CaNd5Sn3 at its relaxed geometry, computed with PBE.

Computed properties:
For the formation enthalpy at 0 K, the calculation gives -589 meV per atom. The raw total energy comes out at -86.31 eV for the cell shown. As for the magnetization: 3.39 μB per cell.

Cell lengths 6.7853, 9.6391, 9.6388 Å; angles 120.00, 90.00, 90.00 degrees
Sites, in units of the cell vectors:
Nd 0.2500 0.6690 0.0000
Nd 0.7500 0.3310 0.0000
Nd 0.2500 0.0000 0.6689
Nd 0.0000 0.3333 0.6667
Nd 0.5000 0.3333 0.6667
Nd 0.0000 0.6667 0.3333
Nd 0.7500 0.6689 0.6689
Nd 0.5000 0.6667 0.3333
Nd 0.7500 0.0000 0.3311
Nd 0.2500 0.3311 0.3311
Sn 0.7500 0.6634 0.0000
Sn 0.7500 0.0000 0.6634
Sn 0.2500 0.6634 0.6634
Sn 0.2500 0.3366 0.0000
Sn 0.2500 0.0000 0.3366
Sn 0.7500 0.3366 0.3366
Ca 0.0000 0.0000 0.0000
Ca 0.5000 0.0000 0.0000

***

Entry 6:
Crystalline Ce2NpHg at its relaxed geometry, computed with PBE.

Computed properties:
For the formation enthalpy at 0 K, the calculation gives 337 meV per atom. The raw total energy comes out at -23.76 eV for the cell shown. As for the magnetization: 0.00 μB per cell.

Cell lengths 3.6832, 3.6832, 9.7628 Å; angles 79.13, 79.13, 60.00 degrees
Sites, in units of the cell vectors:
Hg 0.0000 0.0000 0.0000
Np 0.5000 0.5000 0.5000
Ce 0.8867 0.8867 0.3398
Ce 0.1133 0.1133 0.6602

***

Entry 7:
Crystalline LaMgTc2F at its relaxed geometry, computed with PBE.

Computed properties:
Its raw formation energy is 0.172 eV per atom. The raw total energy comes out at -28.27 eV for the cell shown. As for the magnetization: 1.40 μB per cell.

Cell lengths 4.4483, 4.6836, 4.4483 Å; angles 90.00, 90.00, 90.00 degrees
Sites, in units of the cell vectors:
Tc 0.5000 0.0000 0.0000
Tc 0.0000 0.0000 0.5000
La 0.0000 0.5000 0.0000
F 0.0000 0.0000 0.0000
Mg 0.5000 0.5000 0.5000

***

Entry 8:
Crystalline Pm5Ho8Mg at its relaxed geometry, computed with PBE.

Computed properties:
For the formation enthalpy at 0 K, the calculation gives 225 meV per atom. The raw total energy comes out at -58.82 eV for the cell shown. As for the magnetization: 0.00 μB per cell.

Cell lengths 8.4243, 8.4244, 8.4244 Å; angles 110.46, 107.51, 110.46 degrees
Sites, in units of the cell vectors:
Pm 0.2919 0.1085 0.9760
Pm 0.0240 0.3159 0.1325
Pm 0.8675 0.8915 0.1834
Pm 0.8166 0.6841 0.7081
Pm 0.5000 0.0000 0.5000
Ho 0.3416 0.2704 0.4377
Ho 0.6623 0.3961 0.9193
Ho 0.1673 0.7296 0.0713
Ho 0.5623 0.9039 0.8327
Ho 0.7338 0.2570 0.3377
Ho 0.9287 0.0961 0.6584
Ho 0.0807 0.7430 0.4769
Ho 0.5231 0.6039 0.2662
Mg 0.2500 0.5000 0.7500